Density functional theory data (GGA+U) for an optimized crystal structure of KCrO2F.

Unit cell a=3.837 b=3.837 c=4.167 alpha=90.00 beta=90.00 gamma=90.00
Space group P4/mmm (No. 123)
Asymmetric unit:
1 K 0.000 0.000 0.000 [1 per cell]
2 Cr 0.500 0.500 0.500 [1 per cell]
3 O 0.000 0.500 0.500 [2 per cell]
4 F 0.500 0.500 0.000 [1 per cell]

Calculated values
- Fermi-level density of states: 2.523 states/eV/f.u.
- Uncorrected energy: -5.924 eV per atom
- Size of the total moment: 2.00 μB per formula unit